Entry w
Computed, not measured: a relaxed NaAg3B crystal at the PBE level of DFT.

Geometry as POSCAR:
```
NaAg3B
1.0
4.4667 0.0000 0.0000
0.0000 4.4667 0.0000
0.0000 0.0000 4.4667
Ag Na B
3 1 1
Cartesian
2.2333 0.0000 0.0000
0.0000 2.2333 0.0000
0.0000 0.0000 2.2333
2.2333 2.2333 2.2333
0.0000 0.0000 0.0000
```

space group = Pm-3m
magnetization = 0.0 μB/f.u.
DOS at the Fermi energy = 2.5 states/eV/cell



Entry x
Computed, not measured: a relaxed NaAg3B crystal at the PBE level of DFT.

Geometry as POSCAR:
```
NaAg3B
1.0
4.9690 0.0000 0.0000
0.0000 4.9690 0.0000
0.0000 0.0000 4.9690
Ag Na B
3 1 1
Cartesian
0.0000 2.4845 0.0000
2.4845 0.0000 0.0000
0.0000 0.0000 2.4845
0.0000 0.0000 0.0000
2.4845 2.4845 2.4845
```

space group = Pm-3m
magnetization = 0.0 μB/f.u.
DOS at the Fermi energy = 2.0 states/eV/cell



Least stable = entry x



Entry w
Computed, not measured: a relaxed NbAgB3 crystal at the PBE level of DFT.

Geometry as POSCAR:
```
NbAgB3
1.0
-0.4868 -3.9816 0.6651
3.4887 -0.0780 2.0869
-2.0309 0.8205 3.4256
B Nb Ag
3 1 1
Cartesian
1.7444 -0.0390 1.0435
-1.0154 0.4103 1.7128
-0.2434 -1.9908 0.3325
0.4855 -1.6195 3.0888
0.0000 0.0000 0.0000
```

space group = Pm-3m
magnetization = 0.0 μB/f.u.
DOS at the Fermi energy = 3.5 states/eV/cell



Entry x
Computed, not measured: a relaxed NbAgB3 crystal at the PBE level of DFT.

Geometry as POSCAR:
```
NbAgB3
1.0
-1.0573 2.0566 3.6055
-4.1156 -1.0033 -0.6346
0.5398 -3.6209 2.2237
Ag B Nb
1 3 1
Cartesian
-2.3165 -1.2838 2.5973
-0.5286 1.0283 1.8027
-2.0578 -0.5016 -0.3173
0.2699 -1.8104 1.1118
0.0000 0.0000 0.0000
```

space group = Pm-3m
magnetization = 0.0 μB/f.u.
DOS at the Fermi energy = 1.9 states/eV/cell



Least stable = entry w



Entry w
Computed, not measured: a relaxed NbAgB2 crystal at the PBE level of DFT.

Geometry as POSCAR:
```
NbAgB2
1.0
0.8559 1.5512 3.6662
1.6889 3.6925 0.3046
-2.1769 3.1212 1.4488
B Ag Nb
2 1 1
Cartesian
0.2759 6.2737 4.0646
0.0920 2.0912 1.3549
0.1839 4.1825 2.7098
0.0000 0.0000 0.0000
```

space group = Fm-3m
magnetization = 0.0 μB/f.u.
DOS at the Fermi energy = 3.1 states/eV/cell



Entry x
Computed, not measured: a relaxed NbAgB2 crystal at the PBE level of DFT.

Geometry as POSCAR:
```
NbAgB2
1.0
3.8610 0.0000 0.0000
0.0000 3.8610 0.0000
1.9305 1.9305 8.0922
Ag B Nb
2 4 2
Cartesian
0.0000 0.0000 0.0000
3.8610 1.9305 4.0461
4.8263 4.1382 6.0691
2.2077 0.9653 2.0230
1.6533 2.8958 2.0230
2.8958 3.5838 6.0691
1.9305 3.8610 4.0461
1.9305 1.9305 0.0000
```

space group = I-42d
magnetization = 0.0 μB/f.u.
DOS at the Fermi energy = 3.5 states/eV/cell



Least stable = entry x



Entry w
Computed, not measured: a relaxed NiAgB2 crystal at the PBE level of DFT.

Geometry as POSCAR:
```
NiAgB2
1.0
-2.8149 1.5926 1.5376
-2.1844 -1.5944 -2.3475
-3.2177 -5.5619 4.0403
B Ni Ag
4 2 2
Cartesian
-4.8340 -4.5706 2.1398
-2.1332 -0.9924 1.2934
-6.2417 -3.7745 2.9084
-3.2251 -1.7898 0.1194
-2.4996 -0.0009 -0.4049
-3.9509 -3.5786 0.6440
-4.2661 -1.9851 2.5865
0.0000 0.0000 0.0000
```

space group = I4_1/amd
magnetization = 0.0 μB/f.u.
DOS at the Fermi energy = 1.8 states/eV/cell



Entry x
Computed, not measured: a relaxed NiAgB2 crystal at the PBE level of DFT.

Geometry as POSCAR:
```
NiAgB2
1.0
0.0000 2.7211 2.7211
2.7211 0.0000 2.7211
2.7211 2.7211 0.0000
B Ag Ni
2 1 1
Cartesian
1.3606 1.3606 1.3606
4.0817 4.0817 4.0817
2.7211 2.7211 2.7211
0.0000 0.0000 0.0000
```

space group = Fm-3m
magnetization = 0.0 μB/f.u.
DOS at the Fermi energy = 1.6 states/eV/cell



Least stable = entry x



Entry w
Computed, not measured: a relaxed AgBP2O crystal at the PBE level of DFT.

Geometry as POSCAR:
```
AgBP2O
1.0
5.2605 0.0000 0.0000
0.0000 5.2605 0.0000
0.0000 0.0000 2.6204
P O Ag B
2 1 1 1
Cartesian
2.6303 0.0000 0.0000
0.0000 2.6303 0.0000
0.0000 0.0000 1.3102
2.6303 2.6303 1.3102
0.0000 0.0000 0.0000
```

space group = P4/mmm
magnetization = 0.0 μB/f.u.
DOS at the Fermi energy = 4.1 states/eV/cell



Entry x
Computed, not measured: a relaxed AgBP2O crystal at the PBE level of DFT.

Geometry as POSCAR:
```
AgBP2O
1.0
4.8437 0.0000 0.0000
0.0000 4.8437 0.0000
0.0000 0.0000 3.8926
P O B Ag
2 1 1 1
Cartesian
0.0000 2.4219 0.0000
2.4219 0.0000 0.0000
0.0000 0.0000 1.9463
2.4219 2.4219 1.9463
0.0000 0.0000 0.0000
```

space group = P4/mmm
magnetization = 0.3 μB/f.u.
DOS at the Fermi energy = 5.4 states/eV/cell



Least stable = entry x



Entry w
Computed, not measured: a relaxed Ag3BOs crystal at the PBE level of DFT.

Geometry as POSCAR:
```
Ag3BOs
1.0
-2.7783 0.1246 -4.2859
2.9901 -3.6040 -2.0430
-3.0731 -3.6193 1.8869
Os Ag B
1 3 1
Cartesian
0.0000 0.0000 0.0000
-1.5366 -1.8096 0.9434
1.4950 -1.8020 -1.0215
-1.3891 0.0623 -2.1430
-1.4306 -3.5493 -2.2210
```

space group = Pm-3m
magnetization = 2.3 μB/f.u.
DOS at the Fermi energy = 3.1 states/eV/cell



Entry x
Computed, not measured: a relaxed Ag3BOs crystal at the PBE level of DFT.

Geometry as POSCAR:
```
Ag3BOs
1.0
4.2933 0.0000 0.0000
0.0000 4.2933 0.0000
0.0000 0.0000 4.2933
Ag B Os
3 1 1
Cartesian
2.1466 0.0000 0.0000
0.0000 2.1466 0.0000
0.0000 0.0000 2.1466
0.0000 0.0000 0.0000
2.1466 2.1466 2.1466
```

space group = Pm-3m
magnetization = 2.0 μB/f.u.
DOS at the Fermi energy = 2.7 states/eV/cell



Least stable = entry w